# K2UMn2O6

K2UMn2O6 after structural relaxation (GGA+U, Alexandria via LeMat-Bulk).

Geometry as POSCAR:
```
K2UMn2O6
1.0
2.711 -4.708 0.000
2.711 4.708 0.000
-2.010 0.000 6.333
K U Mn O
2 1 2 6
Cartesian
2.711 3.083 0.000
2.711 -3.083 0.000
-1.005 0.000 3.167
1.706 1.544 3.167
1.706 -1.544 3.167
-0.074 1.645 4.237
0.856 0.000 2.066
-0.074 -1.645 4.237
3.486 1.645 2.096
2.556 0.000 4.268
3.486 -1.645 2.096
```

Values from the calculation:
theoretical density	5.362	g/cm³
total energy	-7.07	eV/atom